Material: YCr2CdO8
Method: DFT, PBE+U
State: optimized geometry

abc: 6.011 6.011 6.011
angles: 105.90 105.90 116.88
Atoms (fractional coordinates):
Y 0.000 0.000 0.000
Cr 0.750 0.250 0.500
Cr 0.500 0.500 0.000
Cd 0.250 0.750 0.500
O 0.394 0.084 0.311
O 0.334 0.513 0.179
O 0.334 0.155 0.821
O 0.773 0.084 0.689
O 0.845 0.666 0.179
O 0.916 0.227 0.311
O 0.916 0.606 0.689
O 0.487 0.666 0.821

Values from the calculation:
* V: 13.76 Å³ per atom
* total DFT energy (no corrections): -82.71 eV/f.u.